1.
Compound: TaBe3Hg
Source: Alexandria via LeMat-Bulk
Functional: PBE-GGA
Structure: relaxed

a = 4.277 Å, b = 4.277 Å, c = 4.277 Å
α = 90.00°, β = 90.00°, γ = 90.00°
Space group Pm-3m (No. 221)
Inequivalent atoms, fractional coordinates:
Ta: 0.000 0.000 0.000 x1
Be: 0.000 0.500 0.500 x3
Hg: 0.500 0.500 0.500 x1

Summary:
ΔE to the lowest computed polymorph = 0.00 eV per formula unit
formation energy from the elements = 1.244 eV per atom



2.
Compound: Ho6Er2Zr
Source: Alexandria via LeMat-Bulk
Functional: PBE-GGA
Structure: relaxed

a = 7.2548 Å, b = 7.2548 Å, c = 18.7655 Å
α = 90.00°, β = 90.00°, γ = 120.00°
Space group R3m (No. 160, hexagonal axes)
Inequivalent atoms, fractional coordinates:
Ho: 0.0063 0.5032 0.0000 x9
Ho: 0.0426 0.5213 0.8061 x9
Er: 0.0000 0.0000 0.8165 x3
Er: 0.0000 0.0000 0.9912 x3
Zr: 0.0000 0.0000 0.5485 x3

Summary:
ΔE to the lowest computed polymorph = 2.65 eV per formula unit
formation energy from the elements = 0.363 eV per atom



3.
Compound: BaIn2Cu2
Source: Alexandria via LeMat-Bulk
Functional: PBE-GGA
Structure: relaxed

a = 4.585 Å, b = 4.585 Å, c = 11.632 Å
α = 90.00°, β = 90.00°, γ = 90.00°
Space group I4/mmm (No. 139)
Inequivalent atoms, fractional coordinates:
Ba: 0.000 0.000 0.000 x2
In: 0.000 0.500 0.250 x4
Cu: 0.000 0.000 0.388 x4

Summary:
formation energy from the elements = -0.165 eV per atom



4.
Compound: PmDy3Er2S6
Source: Alexandria via LeMat-Bulk
Functional: PBE-GGA
Structure: relaxed

a = 6.766 Å, b = 11.766 Å, c = 6.772 Å
α = 90.00°, β = 109.51°, γ = 90.00°
Space group C2/m (No. 12)
Inequivalent atoms, fractional coordinates:
Pm: 0.000 0.000 0.000 x2
Dy: 0.000 0.162 0.500 x4
Dy: 0.000 0.500 0.500 x2
Er: 0.000 0.334 0.000 x4
S: 0.240 0.500 0.249 x4
S: 0.244 0.328 0.748 x8

Summary:
E_form (uncorrected) = -1989 meV/atom



Asked for ρ across the records above, the calculation gives 8669; 8243; 6710; 7577 kg/m3 in order.
Asked for spin magnetization across the records above, the calculation gives 0.000; 0.000; 0.000; 0.000 μB/atom in order.